Below is an optimized crystal structure of Sr2Ga2Co, with properties calculated at the PBE-GGA level.

abc: 8.754 8.754 3.718
angles: 90.00 90.00 90.00
Space group P4/mbm (No. 127)
One atom of each set of equivalent atoms:
1 Sr 0.194 0.306 0.000 (multiplicity 4)
2 Ga 0.102 0.602 0.500 (multiplicity 4)
3 Co 0.000 0.000 0.000 (multiplicity 2)

Computed properties:
Formation enthalpy at 0 K, eV/atom: 0.49
Total magnetization, μB per formula unit: 0.1
Energy above the most stable polymorph in this dataset, eV/f.u.: 2.32

Below is an optimized crystal structure of Sr2TaGaCo, with properties calculated at the PBE-GGA level.

abc: 5.899 5.899 4.972
angles: 90.00 90.00 90.00
Space group P4/mmm (No. 123)
One atom of each set of equivalent atoms:
1 Sr 0.000 0.500 0.000 (multiplicity 2)
2 Ta 0.000 0.000 0.500 (multiplicity 1)
3 Ga 0.000 0.000 0.000 (multiplicity 1)
4 Co 0.500 0.500 0.500 (multiplicity 1)

Computed properties:
Formation enthalpy at 0 K, eV/atom: 1.16
Total magnetization, μB per formula unit: 1.1

Below is an optimized crystal structure of Sr2GaCoTe, with properties calculated at the PBE-GGA level.

abc: 5.611 5.611 4.575
angles: 90.00 90.00 90.00
Space group P4/mmm (No. 123)
One atom of each set of equivalent atoms:
1 Sr 0.000 0.500 0.000 (multiplicity 2)
2 Ga 0.000 0.000 0.500 (multiplicity 1)
3 Co 0.000 0.000 0.000 (multiplicity 1)
4 Te 0.500 0.500 0.500 (multiplicity 1)

Computed properties:
Formation energy without anion corrections, eV per atom: -0.493
Total magnetization, μB per formula unit: 0.0

Below is an optimized crystal structure of SrZn2GaCo, with properties calculated at the PBE-GGA level.

abc: 4.719 4.719 4.573
angles: 90.00 90.00 90.00
Space group P4/mmm (No. 123)
One atom of each set of equivalent atoms:
1 Sr 0.000 0.000 0.000 (multiplicity 1)
2 Zn 0.000 0.500 0.500 (multiplicity 2)
3 Ga 0.500 0.500 0.000 (multiplicity 1)
4 Co 0.500 0.500 0.500 (multiplicity 1)

Computed properties:
Formation enthalpy at 0 K, eV/atom: -0.24
Total magnetization, μB per formula unit: 0.0

Below is an optimized crystal structure of TaGa2Co, with properties calculated at the PBE-GGA level.

abc: 2.901 2.901 6.768
angles: 90.00 90.00 90.00
Space group P4/mmm (No. 123)
One atom of each set of equivalent atoms:
1 Ta 0.000 0.000 0.000 (multiplicity 1)
2 Ga 0.500 0.500 0.290 (multiplicity 2)
3 Co 0.000 0.000 0.500 (multiplicity 1)

Computed properties:
Formation enthalpy at 0 K, eV/atom: -0.20
Total magnetization, μB per formula unit: 0.2

Below is an optimized crystal structure of Ta2GaCo2, with properties calculated at the PBE-GGA level.

abc: 6.835 6.835 3.104
angles: 90.00 90.00 90.00
Space group P4/mbm (No. 127)
One atom of each set of equivalent atoms:
1 Ta 0.171 0.329 0.000 (multiplicity 4)
2 Ga 0.000 0.000 0.500 (multiplicity 2)
3 Co 0.129 0.629 0.500 (multiplicity 4)

Computed properties:
Formation enthalpy at 0 K, eV/atom: -0.24
Total magnetization, μB per formula unit: 0.0

Question: What is the formula in the first record?
Answer: Sr2Ga2Co